Material: DyEr2Zn
Method: DFT, GGA-PBE
State: relaxed

## Properties
ΔE_f	-0.07	eV per atom
energy above the most stable polymorph in this dataset	95.9	meV per atom
crystal system	trigonal
space-group type	R-3m

abc: 10.4400 10.4400 10.4400
angles: 19.45 19.45 19.45
Last column: nearest neighbours and their distance in Å.
Fractional positions:
Dy  0.0000  0.0000  0.0000  6 Dy 3.53, 6 Er 3.53
Er  0.2394  0.2394  0.2394  3 Zn 3.02
Er  0.7606  0.7606  0.7606  3 Zn 3.02
Zn  0.5000  0.5000  0.5000  6 Er 3.02

=====

Material: HfCr2Ru
Method: DFT, GGA-PBE
State: relaxed

## Properties
ΔE_f	0.11	eV per atom
energy above the most stable polymorph in this dataset	0.0	meV per atom
crystal system	cubic
space-group type	Fm-3m

abc: 4.3279 4.3279 4.3279
angles: 60.00 60.00 60.00
Last column: nearest neighbours and their distance in Å.
Fractional positions:
Hf  0.0000  0.0000  0.0000  8 Cr 2.65
Cr  0.2500  0.2500  0.2500  4 Hf 2.65, 4 Ru 2.65
Cr  0.7500  0.7500  0.7500  4 Hf 2.65, 4 Ru 2.65
Ru  0.5000  0.5000  0.5000  8 Cr 2.65

=====

Material: LiU5Se6
Method: DFT, GGA-PBE
State: relaxed

## Properties
raw formation energy	-1.02	eV per atom
crystal system	monoclinic
space-group type	C2/m

abc: 6.9551 6.9551 6.9719
angles: 99.48 99.48 118.97
Last column: nearest neighbours and their distance in Å.
Fractional positions:
Li  0.0000  0.0000  0.0000  6 Se 2.74-2.77
U  0.1727  0.8273  0.5000  6 Se 2.86-2.92
U  0.3383  0.6617  0.0000  6 Se 2.85-2.88
U  0.5000  0.5000  0.5000  6 Se 2.88-2.94
U  0.6617  0.3383  0.0000  6 Se 2.85-2.88
U  0.8273  0.1727  0.5000  6 Se 2.86-2.92
Se  0.0780  0.4003  0.2376  1 Li 2.74, 5 U 2.85-2.92
Se  0.2355  0.2355  0.7500  1 Li 2.77, 5 U 2.86-2.94
Se  0.4003  0.0780  0.2376  1 Li 2.74, 5 U 2.85-2.92
Se  0.5997  0.9220  0.7624  1 Li 2.74, 5 U 2.85-2.92
Se  0.7645  0.7645  0.2500  1 Li 2.77, 5 U 2.86-2.94
Se  0.9220  0.5997  0.7624  1 Li 2.74, 5 U 2.85-2.92

=====

Material: Pm4Bi6O19
Method: DFT, GGA-PBE
State: relaxed

## Properties
raw formation energy	-1.66	eV per atom
crystal system	cubic
space-group type	I23

abc: 8.4994 8.4994 8.4994
angles: 109.47 109.47 109.47
Last column: nearest neighbours and their distance in Å.
Fractional positions:
Pm  0.0000  0.0000  0.7118  4 O 2.30-2.45
Pm  0.0000  0.7118  0.0000  4 O 2.30-2.45
Pm  0.2882  0.2882  0.2882  4 O 2.30-2.45
Pm  0.7118  0.0000  0.0000  4 O 2.30-2.45
Bi  0.1736  0.6736  0.5000  6 O 2.22
Bi  0.3264  0.5000  0.8264  6 O 2.22
Bi  0.5000  0.1736  0.6736  6 O 2.22
Bi  0.5000  0.8264  0.3264  6 O 2.22
Bi  0.6736  0.5000  0.1736  6 O 2.22
Bi  0.8264  0.3264  0.5000  6 O 2.22
O  0.0000  0.0000  0.0000  4 Pm 2.45
O  0.0000  0.3544  0.3544  2 Bi 2.22
O  0.0000  0.6456  0.6456  2 Bi 2.22
O  0.0247  0.2666  0.6850  2 Bi 2.22, 1 Pm 2.30
O  0.2419  0.9753  0.6603  2 Bi 2.22, 1 Pm 2.30
O  0.2666  0.6850  0.0247  2 Bi 2.22, 1 Pm 2.30
O  0.3150  0.5816  0.3397  2 Bi 2.22, 1 Pm 2.30
O  0.3397  0.3150  0.5816  2 Bi 2.22, 1 Pm 2.30
O  0.3544  0.0000  0.3544  2 Bi 2.22
O  0.3544  0.3544  0.0000  2 Bi 2.22
O  0.4184  0.7334  0.7581  2 Bi 2.22, 1 Pm 2.30
O  0.5816  0.3397  0.3150  2 Bi 2.22, 1 Pm 2.30
O  0.6456  0.0000  0.6456  2 Bi 2.22
O  0.6456  0.6456  0.0000  2 Bi 2.22
O  0.6603  0.2419  0.9753  2 Bi 2.22, 1 Pm 2.30
O  0.6850  0.0247  0.2666  2 Bi 2.22, 1 Pm 2.30
O  0.7334  0.7581  0.4184  2 Bi 2.22, 1 Pm 2.30
O  0.7581  0.4184  0.7334  2 Bi 2.22, 1 Pm 2.30
O  0.9753  0.6603  0.2419  2 Bi 2.22, 1 Pm 2.30

=====

Material: Al6Zn2Ni
Method: DFT, GGA-PBE
State: relaxed

## Properties
ΔE_f	-0.14	eV per atom
crystal system	hexagonal
space-group type	P-62m

abc: 6.9819 6.9819 3.3106
angles: 90.00 90.00 120.00
Last column: nearest neighbours and their distance in Å.
Fractional positions:
Al  0.0000  0.3686  0.0000  1 Ni 2.57, 4 Zn 2.76, 4 Al 2.83
Al  0.0000  0.7372  0.5000  2 Ni 2.47, 2 Zn 2.61
Al  0.2628  0.2628  0.5000  2 Ni 2.47, 2 Zn 2.61
Al  0.3686  0.0000  0.0000  1 Ni 2.57, 4 Zn 2.76, 4 Al 2.83
Al  0.6314  0.6314  0.0000  1 Ni 2.57, 4 Zn 2.76, 4 Al 2.83
Al  0.7372  0.0000  0.5000  2 Ni 2.47, 2 Zn 2.61
Zn  0.3333  0.6667  0.5000  9 Al 2.61-2.76
Zn  0.6667  0.3333  0.5000  9 Al 2.61-2.76
Ni  0.0000  0.0000  0.0000  9 Al 2.47-2.57

=====

Material: Ca2AgCl6
Method: DFT, GGA-PBE
State: relaxed

## Properties
raw formation energy	-1.68	eV per atom
crystal system	monoclinic
space-group type	P2_1/c

abc: 6.7752 6.6995 13.0323
angles: 90.00 117.32 90.00
Last column: nearest neighbours and their distance in Å.
Fractional positions:
Ca  0.1688  0.0472  0.1869  6 Cl 2.67-2.86
Ca  0.1688  0.4528  0.6869  6 Cl 2.67-2.86
Ca  0.8312  0.5472  0.3131  6 Cl 2.67-2.86
Ca  0.8312  0.9528  0.8131  6 Cl 2.67-2.86
Ag  0.5000  0.0000  0.0000  4 Cl 2.49-2.55
Ag  0.5000  0.5000  0.5000  4 Cl 2.49-2.55
Cl  0.1631  0.7022  0.8451  2 Ca 2.67-2.68
Cl  0.1631  0.7978  0.3451  2 Ca 2.67-2.68
Cl  0.1736  0.1922  0.9846  1 Ag 2.49
Cl  0.1736  0.3078  0.4846  1 Ag 2.49
Cl  0.4999  0.1827  0.8287  1 Ag 2.55, 2 Ca 2.81
Cl  0.4999  0.3173  0.3287  1 Ag 2.55, 2 Ca 2.81
Cl  0.5001  0.6827  0.6713  1 Ag 2.55, 2 Ca 2.81
Cl  0.5001  0.8173  0.1713  1 Ag 2.55, 2 Ca 2.81
Cl  0.8264  0.6922  0.5154  1 Ag 2.49
Cl  0.8264  0.8078  0.0154  1 Ag 2.49
Cl  0.8369  0.2022  0.6549  2 Ca 2.67-2.68
Cl  0.8369  0.2978  0.1549  2 Ca 2.67-2.68

=====

Taking the records one at a time from the top gives total magnetic moment values of 0.0, 0.2, 2.6, 0.0, 0.0, 2.1 Bohr magnetons per cell.
Taking the records one at a time from the top gives electronic total energy values of -3.818, -9.510, -7.622, -6.368, -3.560, -3.669 eV per atom.